Entry 1:
DFT (PBEsol) results for a relaxed LiBe2Pb crystal.

Geometry as CIF:
```
data_LiBe2Pb
_chemical_formula_sum 'Li1 Be2 Pb1'
_symmetry_space_group_name_H-M 'P 4/m m m'
_symmetry_Int_Tables_number 123
_symmetry_space_group_name_Hall '-P 4 2'
_cell_length_a 3.872
_cell_length_b 3.872
_cell_length_c 3.841
_cell_angle_alpha 90.00
_cell_angle_beta 90.00
_cell_angle_gamma 90.00
loop_
_atom_site_label
_atom_site_type_symbol
_atom_site_fract_x
_atom_site_fract_y
_atom_site_fract_z
Li1 Li 0.000 0.000 0.000
Be1 Be 0.000 0.500 0.500
Pb1 Pb 0.500 0.500 0.000
```


Entry 2:
DFT (PBEsol) results for a relaxed LiBe2Pb crystal.

Geometry as CIF:
```
data_LiBe2Pb
_chemical_formula_sum 'Li1 Be2 Pb1'
_symmetry_space_group_name_H-M 'P 1 2/m 1'
_symmetry_Int_Tables_number 10
_cell_length_a 3.076
_cell_length_b 4.198
_cell_length_c 4.856
_cell_angle_alpha 90.00
_cell_angle_beta 97.34
_cell_angle_gamma 90.00
loop_
_symmetry_equiv_pos_as_xyz
'x,y,z'
'-x,-y,-z'
'-x,y,-z'
'x,-y,z'
loop_
_atom_site_label
_atom_site_type_symbol
_atom_site_fract_x
_atom_site_fract_y
_atom_site_fract_z
Li1 Li 0.000 0.000 0.000
Be1 Be 0.379 0.500 0.202
Pb1 Pb 0.500 0.000 0.500
```


Entry 3:
DFT (PBEsol) results for a relaxed LiBePb crystal.

Geometry as CIF:
```
data_LiBePb
_chemical_formula_sum 'Li4 Be4 Pb4'
_symmetry_space_group_name_H-M 'F -4 3 m'
_symmetry_Int_Tables_number 216
_symmetry_space_group_name_Hall 'F -4 2 3'
_cell_length_a 6.092
_cell_length_b 6.092
_cell_length_c 6.092
_cell_angle_alpha 90.00
_cell_angle_beta 90.00
_cell_angle_gamma 90.00
loop_
_atom_site_label
_atom_site_type_symbol
_atom_site_fract_x
_atom_site_fract_y
_atom_site_fract_z
Li1 Li 0.000 0.000 0.000
Be1 Be 0.000 0.000 0.500
Pb1 Pb 0.250 0.250 0.750
```


Entry 4:
DFT (PBEsol) results for a relaxed LiBePt2Pb crystal.

Geometry as CIF:
```
data_LiBePt2Pb
_chemical_formula_sum 'Li1 Be1 Pt2 Pb1'
_symmetry_space_group_name_H-M 'P 4/m m m'
_symmetry_Int_Tables_number 123
_symmetry_space_group_name_Hall '-P 4 2'
_cell_length_a 4.277
_cell_length_b 4.277
_cell_length_c 4.523
_cell_angle_alpha 90.00
_cell_angle_beta 90.00
_cell_angle_gamma 90.00
loop_
_atom_site_label
_atom_site_type_symbol
_atom_site_fract_x
_atom_site_fract_y
_atom_site_fract_z
Li1 Li 0.000 0.000 0.000
Be1 Be 0.500 0.500 0.500
Pt1 Pt 0.000 0.500 0.000
Pb1 Pb 0.000 0.000 0.500
```


Entry 5:
DFT (PBEsol) results for a relaxed Li2BePd2 crystal.

Geometry as CIF:
```
data_Li2BePd2
_chemical_formula_sum 'Li4 Be2 Pd4'
_symmetry_space_group_name_H-M 'P 4/m b m'
_symmetry_Int_Tables_number 127
_symmetry_space_group_name_Hall '-P 4 2ab'
_cell_length_a 5.834
_cell_length_b 5.834
_cell_length_c 4.045
_cell_angle_alpha 90.00
_cell_angle_beta 90.00
_cell_angle_gamma 90.00
loop_
_atom_site_label
_atom_site_type_symbol
_atom_site_fract_x
_atom_site_fract_y
_atom_site_fract_z
Li1 Li 0.162 0.338 0.000
Be1 Be 0.000 0.000 0.500
Pd1 Pd 0.156 0.656 0.500
```


Entry 6:
DFT (PBEsol) results for a relaxed LiBe2PdRu crystal.

Geometry as CIF:
```
data_LiBe2PdRu
_chemical_formula_sum 'Li1 Be2 Pd1 Ru1'
_symmetry_space_group_name_H-M 'P 4/m m m'
_symmetry_Int_Tables_number 123
_symmetry_space_group_name_Hall '-P 4 2'
_cell_length_a 4.209
_cell_length_b 4.209
_cell_length_c 4.727
_cell_angle_alpha 90.00
_cell_angle_beta 90.00
_cell_angle_gamma 90.00
loop_
_atom_site_label
_atom_site_type_symbol
_atom_site_fract_x
_atom_site_fract_y
_atom_site_fract_z
Li1 Li 0.000 0.000 0.000
Be1 Be 0.000 0.500 0.500
Pd1 Pd 0.500 0.500 0.000
Ru1 Ru 0.500 0.500 0.500
```


Number 1: magnetic moment 0.000 μB/atom, formation enthalpy at 0 K 1.5 eV/f.u.. Number 2: magnetic moment 0.000 μB/atom, formation enthalpy at 0 K 1.7 eV/f.u.. Number 3: magnetic moment 0.000 μB/atom, formation enthalpy at 0 K 0.8 eV/f.u.. Number 4: magnetic moment 0.000 μB/atom, formation enthalpy at 0 K 3.5 eV/f.u.. Number 5: magnetic moment 0.000 μB/atom, formation enthalpy at 0 K -1.7 eV/f.u.. Number 6: magnetic moment 0.000 μB/atom, formation enthalpy at 0 K 3.6 eV/f.u..